No. 1
Here is HfMnBeNi2 after structural relaxation from Alexandria via LeMat-Bulk. Energies are from PBE.

Cell lengths 3.922, 3.922, 4.063 Å; angles 90.00, 90.00, 90.00 degrees
Fractional positions:
1 Hf 0.000 0.000 0.000
2 Mn 0.500 0.500 0.000
3 Be 0.500 0.500 0.500
4 Ni 0.000 0.500 0.500
5 Ni 0.500 0.000 0.500

Computed properties:
- DOS at the Fermi energy (states/eV/f.u.) = 3.03
- crystal system = tetragonal
- electronic total energy (eV per atom) = -6.9340
- volume (Å³/cell) = 63
- energy of formation from the pure elements (eV per atom) = -0.05

No. 2
Here is HfMnBe2Pd after structural relaxation from Alexandria via LeMat-Bulk. Energies are from PBE.

Cell lengths 4.040, 4.040, 4.512 Å; angles 90.00, 90.00, 90.00 degrees
Fractional positions:
1 Hf 0.000 0.000 0.000
2 Mn 0.500 0.500 0.500
3 Be 0.000 0.500 0.500
4 Be 0.500 0.000 0.500
5 Pd 0.500 0.500 0.000

Computed properties:
- DOS at the Fermi energy (states/eV/f.u.) = 2.83
- crystal system = tetragonal
- electronic total energy (eV per atom) = -5.8682
- volume (Å³/cell) = 74
- energy of formation from the pure elements (eV per atom) = 0.49

Q: Which formula does entry 1 have?
A: HfMnBeNi2

Q: What is the formula in the first record?
A: HfMnBeNi2

Q: Which formula does entry 1 have?
A: HfMnBeNi2